VASP calculation (PBE) on a relaxed AgPRuCl2 crystal.

Calculated values
For the magnetic moment, the calculation gives 4.2 μB per cell. The value obtained for the formation energy (no corrections) is 5.64 eV/f.u. The energy above the most stable polymorph in this dataset comes out at 4.43 eV per formula unit. For the uncorrected energy, the calculation gives -3.118 eV/atom. As for the space-group type: P4/mmm, No. 123.

abc: 4.9385 4.9385 4.9543
angles: 90.00 90.00 90.00
Last column: nearest neighbours and their distance in Å.
Element x y z (fractional)
Cl (0.5000, 0.0000, 0.0000)  2 Ag 2.47
Cl (0.0000, 0.5000, 0.0000)  2 Ag 2.47
Ru (0.5000, 0.5000, 0.5000)  4 P 3.49, 8 Cl 3.50
P (0.0000, 0.0000, 0.5000)  2 Ag 2.48
Ag (0.0000, 0.0000, 0.0000)  4 Cl 2.47, 2 P 2.48